# 1
# IrOs2Au, PBEsol geometry, DFT meta-GGA SCAN
# - Volume: 60 Å³ per cell
# - D(E_F): 0.75 states/eV per atom
# - Formation energy: 3.1 eV per formula unit
# - Energy: -70.23 eV/atom
# - Magnetic moment: 1.86 μB/f.u.
data_IrOs2Au
_cell_length_a 4.684
_cell_length_b 4.684
_cell_length_c 2.719
_cell_angle_alpha 90.00
_cell_angle_beta 90.00
_cell_angle_gamma 90.00
_symmetry_space_group_name_H-M 'P 4/m m m'
_symmetry_Int_Tables_number 123
_symmetry_space_group_name_Hall '-P 4 2'
loop_
_atom_site_label
_atom_site_type_symbol
_atom_site_fract_x
_atom_site_fract_y
_atom_site_fract_z
Ir1 Ir 0.000 0.000 0.000
Os1 Os 0.000 0.500 0.500
Au1 Au 0.500 0.500 0.000



# 2
# LiYAu, PBEsol geometry, DFT meta-GGA SCAN
# - Polymorph energy (0 for the lowest one): 0.00 eV/f.u.
# - Volume: 60 Å³ per cell
# - D(E_F): 0.53 states/eV per atom
# - Formation energy: -2.1 eV per formula unit
# - Energy: -33.85 eV/atom
# - Magnetic moment: 0.00 μB/f.u.
data_LiYAu
_cell_length_a 4.4228
_cell_length_b 4.4228
_cell_length_c 3.5678
_cell_angle_alpha 90.00
_cell_angle_beta 90.00
_cell_angle_gamma 120.00
_symmetry_space_group_name_H-M 'P -6 m 2'
_symmetry_Int_Tables_number 187
_symmetry_space_group_name_Hall 'P -6 2'
loop_
_atom_site_label
_atom_site_type_symbol
_atom_site_fract_x
_atom_site_fract_y
_atom_site_fract_z
Li1 Li 0.0000 0.0000 0.0000
Y1 Y 0.3333 0.6667 0.5000
Au1 Au 0.6667 0.3333 0.0000



# 3
# SbMo2Pt, PBEsol geometry, DFT meta-GGA SCAN
# - Energy relative to the elements, uncorrected: 0.172 eV per atom
# - Volume: 67 Å³ per cell
# - D(E_F): 0.84 states/eV per atom
# - Energy: -44.13 eV/atom
# - Magnetic moment: 0.00 μB/f.u.
data_SbMo2Pt
_cell_length_a 2.855
_cell_length_b 4.144
_cell_length_c 5.720
_cell_angle_alpha 90.00
_cell_angle_beta 99.67
_cell_angle_gamma 90.00
_symmetry_space_group_name_H-M 'P 1 2/m 1'
_symmetry_Int_Tables_number 10
loop_
_symmetry_equiv_pos_as_xyz
'x,y,z'
'-x,-y,-z'
'-x,y,-z'
'x,-y,z'
loop_
_atom_site_label
_atom_site_type_symbol
_atom_site_fract_x
_atom_site_fract_y
_atom_site_fract_z
Sb1 Sb 0.000 0.000 0.000
Mo1 Mo 0.423 0.500 0.272
Pt1 Pt 0.000 0.000 0.500



# 4
# LiTiPO4F, PBEsol geometry, DFT meta-GGA SCAN
# - Energy relative to the elements, uncorrected: -2.907 eV per atom
# - Volume: 179 Å³ per cell
# - Energy: -10.07 eV/atom
# - Magnetic moment: 1.00 μB/f.u.
data_LiTiPO4F
_cell_length_a 5.183
_cell_length_b 5.362
_cell_length_c 7.339
_cell_angle_alpha 106.52
_cell_angle_beta 108.58
_cell_angle_gamma 97.98
_symmetry_space_group_name_H-M 'P -1'
_symmetry_Int_Tables_number 2
loop_
_symmetry_equiv_pos_as_xyz
'x,y,z'
'-x,-y,-z'
loop_
_atom_site_label
_atom_site_type_symbol
_atom_site_fract_x
_atom_site_fract_y
_atom_site_fract_z
Li1 Li 0.237 0.388 0.318
Ti1 Ti 0.500 0.000 0.000
Ti2 Ti 0.500 0.000 0.500
P1 P 0.180 0.365 0.735
O1 O 0.130 0.761 0.415
O2 O 0.185 0.662 0.837
O3 O 0.264 0.223 0.890
O4 O 0.372 0.346 0.607
F1 F 0.366 0.072 0.233



# 5
# RbAuC3, PBEsol geometry, DFT meta-GGA SCAN
# - Volume: 81 Å³ per cell
# - D(E_F): 0.39 states/eV per atom
# - Formation energy: 12.9 eV per formula unit
# - Energy: -21.46 eV/atom
# - Magnetic moment: 5.75 μB/f.u.
data_RbAuC3
_cell_length_a 4.328
_cell_length_b 4.328
_cell_length_c 4.328
_cell_angle_alpha 90.00
_cell_angle_beta 90.00
_cell_angle_gamma 90.00
_symmetry_space_group_name_H-M 'P m -3 m'
_symmetry_Int_Tables_number 221
_symmetry_space_group_name_Hall '-P 4 2 3'
loop_
_atom_site_label
_atom_site_type_symbol
_atom_site_fract_x
_atom_site_fract_y
_atom_site_fract_z
Rb1 Rb 0.000 0.000 0.000
Au1 Au 0.500 0.500 0.500
C1 C 0.000 0.500 0.500



# 6
# Zn3Au, PBEsol geometry, DFT meta-GGA SCAN
# - Volume: 60 Å³ per cell
# - D(E_F): 0.21 states/eV per atom
# - Formation energy: -0.3 eV per formula unit
# - Energy: -27.51 eV/atom
# - Magnetic moment: 0.00 μB/f.u.
data_Zn3Au
_cell_length_a 2.8671
_cell_length_b 2.8671
_cell_length_c 8.3701
_cell_angle_alpha 90.00
_cell_angle_beta 90.00
_cell_angle_gamma 120.00
_symmetry_space_group_name_H-M 'P -6 m 2'
_symmetry_Int_Tables_number 187
_symmetry_space_group_name_Hall 'P -6 2'
loop_
_atom_site_label
_atom_site_type_symbol
_atom_site_fract_x
_atom_site_fract_y
_atom_site_fract_z
Zn1 Zn 0.0000 0.0000 0.0000
Zn2 Zn 0.6667 0.3333 0.2428
Au1 Au 0.0000 0.0000 0.5000



# 7
# LiAgSn2, PBEsol geometry, DFT meta-GGA SCAN
# - Volume: 331 Å³ per cell
# - D(E_F): 0.29 states/eV per atom
# - Formation energy: -0.3 eV per formula unit
# - Energy: -26.49 eV/atom
# - Magnetic moment: 0.00 μB/f.u.
data_LiAgSn2
_cell_length_a 6.914
_cell_length_b 6.914
_cell_length_c 6.914
_cell_angle_alpha 90.00
_cell_angle_beta 90.00
_cell_angle_gamma 90.00
_symmetry_space_group_name_H-M 'F m -3 m'
_symmetry_Int_Tables_number 225
_symmetry_space_group_name_Hall '-F 4 2 3'
loop_
_atom_site_label
_atom_site_type_symbol
_atom_site_fract_x
_atom_site_fract_y
_atom_site_fract_z
Li1 Li 0.000 0.000 0.000
Ag1 Ag 0.000 0.000 0.500
Sn1 Sn 0.250 0.250 0.250



# 8
# TaCu2Sb, PBEsol geometry, DFT meta-GGA SCAN
# - Energy relative to the elements, uncorrected: 0.310 eV per atom
# - Volume: 128 Å³ per cell
# - D(E_F): 0.42 states/eV per atom
# - Energy: -33.25 eV/atom
# - Magnetic moment: 0.00 μB/f.u.
data_TaCu2Sb
_cell_length_a 5.462
_cell_length_b 7.516
_cell_length_c 3.110
_cell_angle_alpha 90.00
_cell_angle_beta 90.00
_cell_angle_gamma 90.00
_symmetry_space_group_name_H-M 'C m m m'
_symmetry_Int_Tables_number 65
_symmetry_space_group_name_Hall '-C 2 2'
loop_
_atom_site_label
_atom_site_type_symbol
_atom_site_fract_x
_atom_site_fract_y
_atom_site_fract_z
Ta1 Ta 0.000 0.000 0.000
Cu1 Cu 0.250 0.250 0.500
Sb1 Sb 0.000 0.500 0.000



# 9
# BaLi2In, PBEsol geometry, DFT meta-GGA SCAN
# - Volume: 232 Å³ per cell
# - D(E_F): 0.79 states/eV per atom
# - Formation energy: -0.7 eV per formula unit
# - Energy: -19.61 eV/atom
# - Magnetic moment: 0.00 μB/f.u.
data_BaLi2In
_cell_length_a 4.519
_cell_length_b 5.703
_cell_length_c 8.996
_cell_angle_alpha 90.00
_cell_angle_beta 90.00
_cell_angle_gamma 90.00
_symmetry_space_group_name_H-M 'I m m 2'
_symmetry_Int_Tables_number 44
loop_
_symmetry_equiv_pos_as_xyz
'x,y,z'
'-x,-y,z'
'-x,y,z'
'x,-y,z'
'x+1/2,y+1/2,z+1/2'
'-x+1/2,-y+1/2,z+1/2'
'-x+1/2,y+1/2,z+1/2'
'x+1/2,-y+1/2,z+1/2'
loop_
_atom_site_label
_atom_site_type_symbol
_atom_site_fract_x
_atom_site_fract_y
_atom_site_fract_z
Ba1 Ba 0.000 0.000 0.000
Li1 Li 0.000 0.000 0.501
Li2 Li 0.000 0.500 0.210
In1 In 0.000 0.500 0.786



# 10
# BaZrRu2, PBEsol geometry, DFT meta-GGA SCAN
# - Polymorph energy (0 for the lowest one): 1.82 eV/f.u.
# - Volume: 157 Å³ per cell
# - D(E_F): 1.08 states/eV per atom
# - Formation energy: 3.2 eV per formula unit
# - Energy: -34.18 eV/atom
# - Magnetic moment: 0.00 μB/f.u.
data_BaZrRu2
_cell_length_a 3.952
_cell_length_b 3.952
_cell_length_c 10.037
_cell_angle_alpha 90.00
_cell_angle_beta 90.00
_cell_angle_gamma 90.00
_symmetry_space_group_name_H-M 'I -4 m 2'
_symmetry_Int_Tables_number 119
_symmetry_space_group_name_Hall 'I -4 -2'
loop_
_atom_site_label
_atom_site_type_symbol
_atom_site_fract_x
_atom_site_fract_y
_atom_site_fract_z
Ba1 Ba 0.000 0.000 0.000
Zr1 Zr 0.000 0.500 0.750
Ru1 Ru 0.000 0.000 0.500
Ru2 Ru 0.000 0.500 0.250



# 11
# K2TeRh, PBEsol geometry, DFT meta-GGA SCAN
# - Energy relative to the elements, uncorrected: -0.077 eV per atom
# - Volume: 188 Å³ per cell
# - D(E_F): 0.33 states/eV per atom
# - Energy: -22.00 eV/atom
# - Magnetic moment: 0.00 μB/f.u.
data_K2TeRh
_cell_length_a 4.243
_cell_length_b 4.243
_cell_length_c 10.433
_cell_angle_alpha 90.00
_cell_angle_beta 90.00
_cell_angle_gamma 90.00
_symmetry_space_group_name_H-M 'I 4/m m m'
_symmetry_Int_Tables_number 139
_symmetry_space_group_name_Hall '-I 4 2'
loop_
_atom_site_label
_atom_site_type_symbol
_atom_site_fract_x
_atom_site_fract_y
_atom_site_fract_z
K1 K 0.000 0.500 0.250
Te1 Te 0.000 0.000 0.000
Rh1 Rh 0.000 0.000 0.500



# 12
# InSi3As, PBEsol geometry, DFT meta-GGA SCAN
# - Energy relative to the elements, uncorrected: 1.565 eV per atom
# - Volume: 124 Å³ per cell
# - D(E_F): 0.37 states/eV per atom
# - Energy: -15.16 eV/atom
# - Magnetic moment: 0.00 μB/f.u.
data_InSi3As
_cell_length_a 4.985
_cell_length_b 4.985
_cell_length_c 4.985
_cell_angle_alpha 90.00
_cell_angle_beta 90.00
_cell_angle_gamma 90.00
_symmetry_space_group_name_H-M 'P m -3 m'
_symmetry_Int_Tables_number 221
_symmetry_space_group_name_Hall '-P 4 2 3'
loop_
_atom_site_label
_atom_site_type_symbol
_atom_site_fract_x
_atom_site_fract_y
_atom_site_fract_z
In1 In 0.000 0.000 0.000
Si1 Si 0.000 0.000 0.500
As1 As 0.500 0.500 0.500



# 13
# La4ZnCuRh2O12, PBEsol geometry, DFT meta-GGA SCAN
# - Energy relative to the elements, uncorrected: -2.465 eV per atom
# - Volume: 243 Å³ per cell
# - D(E_F): 0.42 states/eV per atom
# - Energy: -19.64 eV/atom
# - Magnetic moment: 3.04 μB/f.u.
data_La4ZnCuRh2O12
_cell_length_a 5.503
_cell_length_b 5.659
_cell_length_c 7.811
_cell_angle_alpha 89.90
_cell_angle_beta 89.99
_cell_angle_gamma 89.99
_symmetry_space_group_name_H-M 'P -1'
_symmetry_Int_Tables_number 2
loop_
_symmetry_equiv_pos_as_xyz
'x,y,z'
'-x,-y,-z'
loop_
_atom_site_label
_atom_site_type_symbol
_atom_site_fract_x
_atom_site_fract_y
_atom_site_fract_z
La1 La 0.012 0.445 0.251
La2 La 0.487 0.945 0.250
Zn1 Zn 0.500 0.500 0.000
Cu1 Cu 0.000 0.000 0.500
Rh1 Rh 0.000 0.000 0.000
Rh2 Rh 0.500 0.500 0.500
O1 O 0.088 0.980 0.752
O2 O 0.195 0.709 0.047
O3 O 0.206 0.701 0.453
O4 O 0.293 0.199 0.045
O5 O 0.302 0.211 0.452
O6 O 0.412 0.479 0.747



# 14
# CoIr2Pt, PBEsol geometry, DFT meta-GGA SCAN
# - Polymorph energy (0 for the lowest one): 0.75 eV/f.u.
# - Volume: 111 Å³ per cell
# - D(E_F): 0.96 states/eV per atom
# - Formation energy: 0.7 eV per formula unit
# - Energy: -57.25 eV/atom
# - Magnetic moment: 2.57 μB/f.u.
data_CoIr2Pt
_cell_length_a 2.656
_cell_length_b 4.624
_cell_length_c 9.055
_cell_angle_alpha 90.00
_cell_angle_beta 90.00
_cell_angle_gamma 90.00
_symmetry_space_group_name_H-M 'C m m m'
_symmetry_Int_Tables_number 65
_symmetry_space_group_name_Hall '-C 2 2'
loop_
_atom_site_label
_atom_site_type_symbol
_atom_site_fract_x
_atom_site_fract_y
_atom_site_fract_z
Co1 Co 0.000 0.000 0.000
Ir1 Ir 0.000 0.500 0.233
Pt1 Pt 0.000 0.000 0.500



# 15
# SrLi3Nb, PBEsol geometry, DFT meta-GGA SCAN
# - Volume: 107 Å³ per cell
# - D(E_F): 0.57 states/eV per atom
# - Formation energy: 7.0 eV per formula unit
# - Energy: -11.11 eV/atom
# - Magnetic moment: 1.99 μB/f.u.
data_SrLi3Nb
_cell_length_a 4.754
_cell_length_b 4.754
_cell_length_c 4.754
_cell_angle_alpha 90.00
_cell_angle_beta 90.00
_cell_angle_gamma 90.00
_symmetry_space_group_name_H-M 'P m -3 m'
_symmetry_Int_Tables_number 221
_symmetry_space_group_name_Hall '-P 4 2 3'
loop_
_atom_site_label
_atom_site_type_symbol
_atom_site_fract_x
_atom_site_fract_y
_atom_site_fract_z
Sr1 Sr 0.000 0.000 0.000
Li1 Li 0.000 0.000 0.500
Nb1 Nb 0.500 0.500 0.500



# 16
# AlSb2Ir, PBEsol geometry, DFT meta-GGA SCAN
# - Energy relative to the elements, uncorrected: 0.396 eV per atom
# - Volume: 77 Å³ per cell
# - D(E_F): 0.63 states/eV per atom
# - Energy: -37.95 eV/atom
# - Magnetic moment: 0.00 μB/f.u.
data_AlSb2Ir
_cell_length_a 4.586
_cell_length_b 4.586
_cell_length_c 3.669
_cell_angle_alpha 90.00
_cell_angle_beta 90.00
_cell_angle_gamma 90.00
_symmetry_space_group_name_H-M 'P 4/m m m'
_symmetry_Int_Tables_number 123
_symmetry_space_group_name_Hall '-P 4 2'
loop_
_atom_site_label
_atom_site_type_symbol
_atom_site_fract_x
_atom_site_fract_y
_atom_site_fract_z
Al1 Al 0.000 0.000 0.000
Sb1 Sb 0.000 0.500 0.500
Ir1 Ir 0.500 0.500 0.000



# 17
# InCuSi3, PBEsol geometry, DFT meta-GGA SCAN
# - Energy relative to the elements, uncorrected: 1.792 eV per atom
# - Volume: 125 Å³ per cell
# - D(E_F): 0.58 states/eV per atom
# - Energy: -13.93 eV/atom
# - Magnetic moment: 0.00 μB/f.u.
data_InCuSi3
_cell_length_a 5.004
_cell_length_b 5.004
_cell_length_c 5.004
_cell_angle_alpha 90.00
_cell_angle_beta 90.00
_cell_angle_gamma 90.00
_symmetry_space_group_name_H-M 'P m -3 m'
_symmetry_Int_Tables_number 221
_symmetry_space_group_name_Hall '-P 4 2 3'
loop_
_atom_site_label
_atom_site_type_symbol
_atom_site_fract_x
_atom_site_fract_y
_atom_site_fract_z
In1 In 0.000 0.000 0.000
Cu1 Cu 0.500 0.500 0.500
Si1 Si 0.000 0.000 0.500



# 18
# Ca3Y, PBEsol geometry, DFT meta-GGA SCAN
# - Polymorph energy (0 for the lowest one): 0.12 eV/f.u.
# - Volume: 295 Å³ per cell
# - D(E_F): 1.31 states/eV per atom
# - Formation energy: 0.4 eV per formula unit
# - Energy: -14.11 eV/atom
# - Magnetic moment: 0.24 μB/f.u.
data_Ca3Y
_cell_length_a 3.989
_cell_length_b 5.997
_cell_length_c 12.351
_cell_angle_alpha 90.00
_cell_angle_beta 90.00
_cell_angle_gamma 90.00
_symmetry_space_group_name_H-M 'C m m m'
_symmetry_Int_Tables_number 65
_symmetry_space_group_name_Hall '-C 2 2'
loop_
_atom_site_label
_atom_site_type_symbol
_atom_site_fract_x
_atom_site_fract_y
_atom_site_fract_z
Ca1 Ca 0.000 0.000 0.000
Ca2 Ca 0.000 0.500 0.260
Y1 Y 0.000 0.000 0.500



# 19
# MgTcSb, PBEsol geometry, DFT meta-GGA SCAN
# - Energy relative to the elements, uncorrected: 0.156 eV per atom
# - Polymorph energy (0 for the lowest one): 1.00 eV/f.u.
# - Volume: 242 Å³ per cell
# - D(E_F): 0.53 states/eV per atom
# - Energy: -25.61 eV/atom
# - Magnetic moment: 0.00 μB/f.u.
data_MgTcSb
_cell_length_a 6.229
_cell_length_b 6.229
_cell_length_c 6.229
_cell_angle_alpha 90.00
_cell_angle_beta 90.00
_cell_angle_gamma 90.00
_symmetry_space_group_name_H-M 'F -4 3 m'
_symmetry_Int_Tables_number 216
_symmetry_space_group_name_Hall 'F -4 2 3'
loop_
_atom_site_label
_atom_site_type_symbol
_atom_site_fract_x
_atom_site_fract_y
_atom_site_fract_z
Mg1 Mg 0.000 0.000 0.000
Tc1 Tc 0.250 0.250 0.250
Sb1 Sb 0.000 0.000 0.500



# 20
# ZrIn3, PBEsol geometry, DFT meta-GGA SCAN
# - Volume: 178 Å³ per cell
# - D(E_F): 0.29 states/eV per atom
# - Formation energy: -1.1 eV per formula unit
# - Energy: -32.98 eV/atom
# - Magnetic moment: 0.00 μB/f.u.
data_ZrIn3
_cell_length_a 3.254
_cell_length_b 10.187
_cell_length_c 5.381
_cell_angle_alpha 90.00
_cell_angle_beta 90.00
_cell_angle_gamma 90.00
_symmetry_space_group_name_H-M 'I m m 2'
_symmetry_Int_Tables_number 44
loop_
_symmetry_equiv_pos_as_xyz
'x,y,z'
'-x,-y,z'
'-x,y,z'
'x,-y,z'
'x+1/2,y+1/2,z+1/2'
'-x+1/2,-y+1/2,z+1/2'
'-x+1/2,y+1/2,z+1/2'
'x+1/2,-y+1/2,z+1/2'
loop_
_atom_site_label
_atom_site_type_symbol
_atom_site_fract_x
_atom_site_fract_y
_atom_site_fract_z
Zr1 Zr 0.000 0.000 0.000
In1 In 0.000 0.256 0.317
In2 In 0.000 0.500 0.980